DFT (PBE+U) results for a relaxed BaV3Se4O12 crystal.

Values from the calculation:
final energy = -6.133 eV per atom
M_tot = 2.34 μB per formula unit

abc: 11.5792 11.5792 7.5408
angles: 90.00 90.00 120.00
With the nearest neighbours (Å) after each atom.
Space group R32 (No. 155, hexagonal axes)
Inequivalent atoms, fractional coordinates:
Ba1 0.0000 0.0000 0.0000  6 O 2.91
V1 0.0000 0.5840 0.0000  6 O 1.87-2.03
Se1 0.0000 0.0000 0.5000  3 O 2.02
Se2 0.0000 0.3868 0.5000  2 O 1.84
O1 0.0000 0.6120 0.5000  2 V 1.87
O2 0.0000 0.8252 0.5000  1 Se 2.02, 2 V 2.03
O3 0.0820 0.2429 0.2018  1 Se 1.84, 1 V 1.96